Crystalline Tm2PuPaC4 at its relaxed geometry. Source: Alexandria via LeMat-Bulk, functional PBE.

abc: 3.5831 6.0753 6.1716
angles: 70.60 90.00 90.00
Site moments in Bohr magnetons follow the coordinates.
Fractional coordinates of all 8 atoms:
Tm: 0.0000 0.0000 0.0000  -0.07
Tm: 0.5000 0.0000 0.5000  -0.04
Pu: 0.0000 0.5000 0.5000  3.86
Pa: 0.5000 0.5000 0.0000  -0.17
C: 0.0000 0.7286 0.7493  -0.10
C: 0.0000 0.2714 0.2507  -0.10
C: 0.5000 0.7296 0.2589  -0.14
C: 0.5000 0.2704 0.7411  -0.14

V, Å³ per atom: 15.84
Energy, hartree per atom: -0.3293